Entry 1:
Ga2BiPb2: optimized geometry, PBE.

Values from the calculation:
Spin magnetization   0.0 μB per cell
Final energy   -3.39 eV/atom
Energy of formation   0.0766 eV/atom

Cell: 4.189 4.452 7.651 Å, 90.00 103.97 90.00°
Fractional positions:
Ga 0.204 0.000 0.399
Ga 0.796 0.000 0.601
Bi 0.000 0.000 0.000
Pb 0.376 0.500 0.753
Pb 0.624 0.500 0.247

***

Entry 2:
UPa2Ag: optimized geometry, PBE.

Values from the calculation:
Spin magnetization   0.0 μB per cell
Final energy   -7.94 eV/atom
Energy of formation   0.3438 eV/atom

Cell: 11.948 11.948 11.948 Å, 14.53 14.53 14.53°
Fractional positions:
U 0.000 0.000 0.000
Pa 0.413 0.413 0.413
Pa 0.587 0.587 0.587
Ag 0.500 0.500 0.500

***

Entry 3:
CeCdCoRh: optimized geometry, PBE.

Values from the calculation:
Spin magnetization   0.0 μB per cell
Final energy   -5.56 eV/atom
Energy of formation   -0.2377 eV/atom

Cell: 4.670 4.670 4.670 Å, 60.00 60.00 60.00°
Fractional positions:
Ce 0.000 0.000 0.000
Cd 0.500 0.500 0.500
Co 0.750 0.750 0.750
Rh 0.250 0.250 0.250

***

Entry 4:
Li6Pr3Sn5: optimized geometry, PBE.

Values from the calculation:
Spin magnetization   0.0 μB per cell
Final energy   -3.83 eV/atom
Energy of formation   -0.5527 eV/atom

Cell: 8.816 8.816 8.816 Å, 149.52 110.31 77.94°
Fractional positions:
Li 0.076 0.360 0.716
Li 0.183 0.000 0.183
Li 0.355 0.640 0.716
Li 0.645 0.360 0.284
Li 0.817 0.000 0.817
Li 0.924 0.640 0.284
Pr 0.204 0.204 0.000
Pr 0.500 0.500 0.000
Pr 0.796 0.796 0.000
Sn 0.000 0.500 0.500
Sn 0.202 0.845 0.357
Sn 0.487 0.845 0.643
Sn 0.513 0.155 0.357
Sn 0.798 0.155 0.643

***

Entry 5:
KNaSr2: optimized geometry, PBE.

Values from the calculation:
Spin magnetization   0.0 μB per cell
Final energy   -1.21 eV/atom
Energy of formation   0.2333 eV/atom

Cell: 8.516 8.516 8.516 Å, 103.26 103.26 122.77°
Fractional positions:
K 0.000 0.000 0.000
K 0.750 0.250 0.500
Na 0.250 0.750 0.500
Na 0.500 0.500 0.000
Sr 0.158 0.625 0.033
Sr 0.375 0.408 0.533
Sr 0.592 0.125 0.967
Sr 0.875 0.842 0.467

***

Entry 6:
KCaReO4: optimized geometry, PBE.

Values from the calculation:
Spin magnetization   4.0 μB per cell
Formation energy without anion corrections   -1.7947 eV per atom
Final energy   -6.85 eV/atom

Cell: 6.820 6.820 6.820 Å, 125.05 117.04 88.34°
Fractional positions:
K 0.500 0.000 0.000
K 0.500 0.500 0.500
Ca 0.000 0.000 0.000
Ca 0.500 0.000 0.500
Re 0.112 0.362 0.750
Re 0.888 0.638 0.250
O 0.200 0.246 0.954
O 0.208 0.754 0.454
O 0.235 0.247 0.513
O 0.235 0.722 0.987
O 0.765 0.278 0.013
O 0.765 0.753 0.487
O 0.792 0.246 0.546
O 0.800 0.754 0.046

***

Entry 7:
ScPaAu2: optimized geometry, PBE.

Values from the calculation:
Spin magnetization   0.5 μB per cell
Final energy   -6.02 eV/atom
Energy of formation   -0.4226 eV/atom

Cell: 4.996 4.996 4.996 Å, 60.00 60.00 60.00°
Fractional positions:
Sc 0.000 0.000 0.000
Pa 0.500 0.500 0.500
Au 0.250 0.250 0.250
Au 0.750 0.750 0.750

***

Entry 8:
HfV3As: optimized geometry, PBE.

Values from the calculation:
Spin magnetization   0.0 μB per cell
Final energy   -8.72 eV/atom
Energy of formation   -0.3279 eV/atom

Cell: 8.477 3.344 11.116 Å, 90.00 90.00 90.00°
Fractional positions:
Hf 0.156 0.250 0.005
Hf 0.344 0.750 0.505
Hf 0.656 0.250 0.495
Hf 0.844 0.750 0.995
V 0.063 0.250 0.409
V 0.098 0.750 0.236
V 0.150 0.750 0.793
V 0.350 0.250 0.293
V 0.402 0.250 0.736
V 0.437 0.750 0.909
V 0.563 0.250 0.091
V 0.598 0.750 0.264
V 0.650 0.750 0.707
V 0.850 0.250 0.207
V 0.902 0.250 0.764
V 0.937 0.750 0.591
As 0.146 0.250 0.627
As 0.354 0.750 0.127
As 0.646 0.250 0.873
As 0.854 0.750 0.373